Compound: Ac2Zn3CuPd12
Source: Alexandria via LeMat-Bulk
Functional: PBE
Structure: optimized geometry

a = 8.0918 Å, b = 8.0918 Å, c = 19.8677 Å
α = 90.00°, β = 90.00°, γ = 120.00°
Space group R-3m (No. 166, hexagonal axes)
Inequivalent atoms, fractional coordinates:
Ac: 0.0000 0.0000 0.1277 (multiplicity 6)
Zn: 0.0000 0.5000 0.0000 (multiplicity 9)
Cu: 0.0000 0.0000 0.5000 (multiplicity 3)
Pd: 0.9997 0.4999 0.1253 (multiplicity 18)
Pd: 0.0043 0.5022 0.6240 (multiplicity 18)

Properties
crystal system = trigonal
DOS at the Fermi energy = 10.84 states/eV/cell
total energy = -4.53 eV/atom
M_tot = 0.000 μB per formula unit
E_form = -168 meV/atom